1.
PBE-GGA NbCrPt2Se, relaxed; E_form (uncorrected) = 4.2 eV/f.u.; symmetry = P4/mmm; V = 94.7 Å³/cell; DOS(E_F) = 1.622 states/eV per atom
1.0
4.674 0.000 0.000
0.000 4.333 0.000
0.000 0.000 4.674
Cr Nb Se Pt
1 1 1 2
Direct
0.000 0.500 0.000 Cr
0.500 0.500 0.500 Nb
0.000 0.000 0.000 Se
0.000 0.000 0.500 Pt
0.500 0.000 0.000 Pt

2.
PBE-GGA PrCo4Ge4, relaxed; symmetry = P4_2/nmc; V = 273.2 Å³/cell; DOS(E_F) = 0.814 states/eV per atom; energy relative to the elements = -2.9 eV per formula unit
1.0
5.840 0.000 0.000
0.000 5.840 0.000
0.000 0.000 8.013
Pr Co Ge
2 8 8
Direct
0.000 0.000 0.000 Pr
0.500 0.500 0.500 Pr
0.225 0.500 0.882 Co
0.775 0.500 0.882 Co
0.500 0.775 0.118 Co
0.500 0.225 0.118 Co
0.000 0.725 0.382 Co
0.000 0.275 0.382 Co
0.275 0.000 0.618 Co
0.725 0.000 0.618 Co
0.500 0.786 0.824 Ge
0.500 0.214 0.824 Ge
0.786 0.500 0.176 Ge
0.214 0.500 0.176 Ge
0.286 0.000 0.324 Ge
0.714 0.000 0.324 Ge
0.000 0.286 0.676 Ge
0.000 0.714 0.676 Ge

3.
PBE-GGA Tc2RhSe, relaxed; E_form (uncorrected) = 3.0 eV/f.u.; symmetry = I-42d; V = 169.6 Å³/cell; DOS(E_F) = 1.336 states/eV per atom
1.0
-4.789 0.889 2.784
-2.885 -0.582 -4.777
-4.287 -5.137 -0.080
Rh Tc Se
2 4 2
Direct
0.000 0.000 0.000 Rh
0.750 0.250 0.500 Rh
0.628 0.125 0.250 Tc
0.122 0.625 0.250 Tc
0.375 0.372 0.750 Tc
0.875 0.878 0.750 Tc
0.500 0.500 0.000 Se
0.250 0.750 0.500 Se